ReCSe3: optimized geometry, PBE.

## Properties
For the density, the calculation gives 6.2 g/cm³. For the density of states at the Fermi level, the calculation gives 6.0 states/eV/cell. Its energy above the lowest structure with this stoichiometry is 238 meV per atom. As for the space group: Pm-3m. The calculation puts the total moment at 1.84 μB per formula unit.

extended XYZ file:
```
5
Lattice="4.874 0.000 0.000 0.000 4.874 0.000 0.000 0.000 4.874" Properties=species:S:1:pos:R:3 pbc="T T T"
Re 0.000 0.000 0.000
C 2.437 2.437 2.437
Se 0.000 0.000 2.437
Se 0.000 2.437 0.000
Se 2.437 0.000 0.000
```